Entry 1:
! Pr2YCd3Ga2Au, optimized geometry, DFT PBE; values from VASP
&SYSTEM
  ibrav = 0, nat = 9, ntyp = 5
/
ATOMIC_SPECIES
Ga 69.72 Ga.upf
Y 88.91 Y.upf
Cd 112.41 Cd.upf
Pr 140.91 Pr.upf
Au 196.97 Au.upf
ATOMIC_POSITIONS crystal
Ga 0.5000 0.3378 0.6653
Y 0.0000 0.5889 0.5889
Cd 0.5000 0.7479 0.9972
Cd 0.5000 0.9972 0.7479
Pr 0.0000 0.0010 0.4134
Au 0.0000 0.9945 0.9945
Pr 0.0000 0.4134 0.0010
Cd 0.5000 0.2541 0.2541
Ga 0.5000 0.6653 0.3378
CELL_PARAMETERS angstrom
4.4279 0.0000 0.0000
0.0000 6.4712 3.7494
0.0000 -6.4712 3.7494
! Calculated volume in Å³/atom: 23.87
! Final energy in eV per atom: -3.691

***

Entry 2:
! Sm3Cd3GaAu2, optimized geometry, DFT PBE; values from VASP
&SYSTEM
  ibrav = 0, nat = 9, ntyp = 4
/
ATOMIC_SPECIES
Cd 112.41 Cd.upf
Au 196.97 Au.upf
Sm 150.36 Sm.upf
Ga 69.72 Ga.upf
ATOMIC_POSITIONS crystal
Cd 0.0000 0.7416 0.5000
Au 0.3333 0.6667 0.5000
Sm 0.0000 0.4047 0.0000
Cd 0.2584 0.2584 0.5000
Sm 0.5953 0.5953 0.0000
Sm 0.4047 0.0000 0.0000
Au 0.6667 0.3333 0.5000
Ga 0.0000 0.0000 0.0000
Cd 0.7416 0.0000 0.5000
CELL_PARAMETERS angstrom
-3.5497 6.5385 -2.7214
-4.0557 -6.7854 0.5180
-1.0909 0.9315 3.6610
! Calculated volume in Å³/atom: 23.75
! Final energy in eV per atom: -3.550

***

Entry 3:
! Tb3Cd3GaAu2, optimized geometry, DFT PBE; values from VASP
&SYSTEM
  ibrav = 0, nat = 9, ntyp = 4
/
ATOMIC_SPECIES
Cd 112.41 Cd.upf
Ga 69.72 Ga.upf
Tb 158.93 Tb.upf
Au 196.97 Au.upf
ATOMIC_POSITIONS crystal
Cd 0.2491 0.0000 0.5000
Cd 0.0000 0.2491 0.5000
Ga 0.0000 0.0000 0.0000
Cd 0.7509 0.7509 0.5000
Tb 0.4133 0.4133 0.0000
Tb 0.0000 0.5867 0.0000
Au 0.6667 0.3333 0.5000
Tb 0.5867 0.0000 0.0000
Au 0.3333 0.6667 0.5000
CELL_PARAMETERS angstrom
-0.9081 -2.0078 7.2826
-1.2397 -5.0777 -5.5292
3.9191 -1.1452 0.1730
! Calculated volume in Å³/atom: 22.77
! Final energy in eV per atom: -3.518

***

Entry 4:
! Tm3Cd3GaAu2, optimized geometry, DFT PBE; values from VASP
&SYSTEM
  ibrav = 0, nat = 9, ntyp = 4
/
ATOMIC_SPECIES
Tm 168.93 Tm.upf
Au 196.97 Au.upf
Cd 112.41 Cd.upf
Ga 69.72 Ga.upf
ATOMIC_POSITIONS crystal
Tm 0.5948 0.0000 0.0000
Tm 0.0000 0.5948 0.0000
Au 0.6667 0.3333 0.5000
Au 0.3333 0.6667 0.5000
Tm 0.4052 0.4052 0.0000
Cd 0.7400 0.7400 0.5000
Cd 0.0000 0.2600 0.5000
Cd 0.2600 0.0000 0.5000
Ga 0.0000 0.0000 0.0000
CELL_PARAMETERS angstrom
-2.0762 2.8075 6.9306
-1.8982 -7.2618 -1.9719
3.2711 -1.2597 1.4902
! Calculated volume in Å³/atom: 22.07
! Final energy in eV per atom: -3.462

***

Entry 5:
! Y3Cd3Ga2Au, optimized geometry, DFT PBE; values from VASP
&SYSTEM
  ibrav = 0, nat = 9, ntyp = 4
/
ATOMIC_SPECIES
Ga 69.72 Ga.upf
Y 88.91 Y.upf
Cd 112.41 Cd.upf
Au 196.97 Au.upf
ATOMIC_POSITIONS crystal
Ga 0.6667 0.3333 0.0000
Y 0.4136 0.4136 0.5000
Cd 0.7458 0.7458 0.0000
Ga 0.3333 0.6667 0.0000
Cd 0.0000 0.2542 0.0000
Au 0.0000 0.0000 0.5000
Y 0.0000 0.5864 0.5000
Y 0.5864 0.0000 0.5000
Cd 0.2542 0.0000 0.0000
CELL_PARAMETERS angstrom
-5.2715 -0.3431 -5.1081
4.8585 -5.4758 0.6394
-2.6202 -1.9934 2.8379
! Calculated volume in Å³/atom: 22.59
! Final energy in eV per atom: -4.086

***

Entry 6:
! Y2CdGaAu4, optimized geometry, DFT PBE; values from VASP
&SYSTEM
  ibrav = 0, nat = 8, ntyp = 4
/
ATOMIC_SPECIES
Y 88.91 Y.upf
Au 196.97 Au.upf
Ga 69.72 Ga.upf
Cd 112.41 Cd.upf
ATOMIC_POSITIONS crystal
Y 0.5000 0.5000 0.0000
Au 0.5000 0.0000 0.2546
Ga 0.5000 0.5000 0.5000
Au 0.0000 0.5000 0.2546
Au 0.5000 0.0000 0.7454
Y 0.0000 0.0000 0.5000
Cd 0.0000 0.0000 0.0000
Au 0.0000 0.5000 0.7454
CELL_PARAMETERS angstrom
4.9011 0.0000 0.0000
0.0000 4.9011 0.0000
0.0000 0.0000 6.9347
! Calculated volume in Å³/atom: 20.82
! Final energy in eV per atom: -4.410

***

Entry 7:
! GdCdAu2, optimized geometry, DFT PBE; values from VASP
&SYSTEM
  ibrav = 0, nat = 8, ntyp = 3
/
ATOMIC_SPECIES
Au 196.97 Au.upf
Cd 112.41 Cd.upf
Gd 157.25 Gd.upf
ATOMIC_POSITIONS crystal
Au 0.5000 0.1696 0.1696
Au 0.0000 0.8515 0.8515
Au 0.5000 0.1710 0.6337
Cd 0.0000 0.3255 0.3255
Gd 0.0000 0.3157 0.8281
Au 0.5000 0.6337 0.1710
Cd 0.5000 0.7048 0.7048
Gd 0.0000 0.8281 0.3157
CELL_PARAMETERS angstrom
-0.9042 -2.7381 -3.4734
-0.3074 -5.2829 4.2445
-5.9878 -1.5542 2.7839
! Calculated volume in Å³/atom: 22.85
! DFT formation energy in eV/atom: -0.374
! E above lowest polymorph in eV/atom: 0.249

***

Entry 8:
! Gd3Cd2Au3, optimized geometry, DFT PBE; values from VASP
&SYSTEM
  ibrav = 0, nat = 8, ntyp = 3
/
ATOMIC_SPECIES
Gd 157.25 Gd.upf
Au 196.97 Au.upf
Cd 112.41 Cd.upf
ATOMIC_POSITIONS crystal
Gd 0.7392 0.5000 0.9335
Gd 0.9562 0.0000 0.5831
Au 0.0715 0.5000 0.3195
Au 0.2029 0.5000 0.7958
Au 0.7463 0.0000 0.1789
Cd 0.5639 0.5000 0.4136
Gd 0.2484 0.0000 0.0966
Cd 0.4717 0.0000 0.6791
CELL_PARAMETERS angstrom
6.0814 0.0000 0.0000
0.0000 4.6928 0.0000
-1.0008 0.0000 6.7981
! Calculated volume in Å³/atom: 24.25
! DFT formation energy in eV/atom: -0.611
! E above lowest polymorph in eV/atom: 0.000

***

Entry 9:
! GdCdAu2, optimized geometry, DFT PBE; values from VASP
&SYSTEM
  ibrav = 0, nat = 8, ntyp = 3
/
ATOMIC_SPECIES
Cd 112.41 Cd.upf
Au 196.97 Au.upf
Gd 157.25 Gd.upf
ATOMIC_POSITIONS crystal
Cd 0.3536 0.6464 0.7500
Au 0.6469 0.8349 0.2500
Au 0.3531 0.1651 0.7500
Gd 0.1472 0.8528 0.2500
Cd 0.6464 0.3536 0.2500
Au 0.1651 0.3531 0.2500
Gd 0.8528 0.1472 0.7500
Au 0.8349 0.6469 0.7500
CELL_PARAMETERS angstrom
3.3240 -5.3013 0.0000
3.3240 5.3013 0.0000
0.0000 0.0000 4.9254
! Calculated volume in Å³/atom: 21.70
! DFT formation energy in eV/atom: -0.623
! E above lowest polymorph in eV/atom: 0.000

***

Entry 10:
! Gd5Cd2Au, optimized geometry, DFT PBE; values from VASP
&SYSTEM
  ibrav = 0, nat = 8, ntyp = 3
/
ATOMIC_SPECIES
Gd 157.25 Gd.upf
Cd 112.41 Cd.upf
Au 196.97 Au.upf
ATOMIC_POSITIONS crystal
Gd 0.0000 0.6390 0.1562
Cd 0.5000 0.3482 0.3482
Au 0.0000 0.1677 0.1677
Gd 0.5000 0.3384 0.8640
Cd 0.0000 0.6560 0.6560
Gd 0.0000 0.1562 0.6390
Gd 0.5000 0.8304 0.8304
Gd 0.5000 0.8640 0.3384
CELL_PARAMETERS angstrom
-2.0911 3.9384 2.9889
6.1372 2.4093 1.1190
2.2926 4.5247 -4.3582
! Calculated volume in Å³/atom: 26.81
! DFT formation energy in eV/atom: -0.260

***

Entry 11:
! GdCdAu2, optimized geometry, DFT PBE; values from VASP
&SYSTEM
  ibrav = 0, nat = 8, ntyp = 3
/
ATOMIC_SPECIES
Gd 157.25 Gd.upf
Au 196.97 Au.upf
Cd 112.41 Cd.upf
ATOMIC_POSITIONS crystal
Gd 0.2500 0.5919 0.9412
Au 0.2500 0.0978 0.4266
Cd 0.2500 0.5499 0.4076
Cd 0.7500 0.4076 0.5499
Au 0.7500 0.9132 0.0718
Au 0.7500 0.4266 0.0978
Gd 0.7500 0.9412 0.5919
Au 0.2500 0.0718 0.9132
CELL_PARAMETERS angstrom
4.9673 0.0000 0.0000
0.0000 5.6564 3.0650
0.0000 -5.6564 3.0650
! Calculated volume in Å³/atom: 21.53
! DFT formation energy in eV/atom: -0.585
! E above lowest polymorph in eV/atom: 0.038

***

Entry 12:
! GdCd6Au, optimized geometry, DFT PBE; values from VASP
&SYSTEM
  ibrav = 0, nat = 8, ntyp = 3
/
ATOMIC_SPECIES
Cd 112.41 Cd.upf
Gd 157.25 Gd.upf
Au 196.97 Au.upf
ATOMIC_POSITIONS crystal
Cd 0.0079 0.5040 0.5000
Gd 0.6667 0.3333 0.0000
Cd 0.1655 0.8345 0.0000
Au 0.0000 0.0000 0.5000
Cd 0.4960 0.9921 0.5000
Cd 0.4960 0.5040 0.5000
Cd 0.1655 0.3310 0.0000
Cd 0.6690 0.8345 0.0000
CELL_PARAMETERS angstrom
6.5086 0.0000 0.0000
-3.2543 5.6366 0.0000
0.0000 0.0000 4.9159
! Calculated volume in Å³/atom: 22.54
! DFT formation energy in eV/atom: -0.125

***

Entry 13:
! Gd3Cd2Au3, optimized geometry, DFT PBE; values from VASP
&SYSTEM
  ibrav = 0, nat = 8, ntyp = 3
/
ATOMIC_SPECIES
Cd 112.41 Cd.upf
Gd 157.25 Gd.upf
Au 196.97 Au.upf
ATOMIC_POSITIONS crystal
Cd 0.3333 0.6667 0.5000
Gd 0.5086 0.0173 0.0000
Gd 0.9827 0.4914 0.0000
Gd 0.5086 0.4914 0.0000
Au 0.8442 0.1558 0.5000
Au 0.8442 0.6883 0.5000
Au 0.3117 0.1558 0.5000
Cd 0.0000 0.0000 0.0000
CELL_PARAMETERS angstrom
-5.2488 -4.1697 3.0859
6.3862 -3.0529 -2.0866
1.6215 0.7834 3.8166
! Calculated volume in Å³/atom: 24.88
! DFT formation energy in eV/atom: -0.426
! E above lowest polymorph in eV/atom: 0.185

***

Entry 14:
! Gd2CdAu, optimized geometry, DFT PBE; values from VASP
&SYSTEM
  ibrav = 0, nat = 8, ntyp = 3
/
ATOMIC_SPECIES
Au 196.97 Au.upf
Cd 112.41 Cd.upf
Gd 157.25 Gd.upf
ATOMIC_POSITIONS crystal
Au 0.0000 0.1751 0.6588
Au 0.0000 0.6588 0.1751
Cd 0.5000 0.3287 0.3287
Gd 0.5000 0.3393 0.8049
Gd 0.5000 0.8398 0.8398
Gd 0.5000 0.8049 0.3393
Cd 0.0000 0.6693 0.6693
Gd 0.0000 0.1840 0.1840
CELL_PARAMETERS angstrom
-4.4303 2.2530 -1.0242
-3.2260 -4.8848 3.2092
-1.0451 0.9133 6.5300
! Calculated volume in Å³/atom: 25.31
! DFT formation energy in eV/atom: -0.323
! E above lowest polymorph in eV/atom: 0.263

***

Entry 15:
! Gd3Cd2Au3, optimized geometry, DFT PBE; values from VASP
&SYSTEM
  ibrav = 0, nat = 8, ntyp = 3
/
ATOMIC_SPECIES
Gd 157.25 Gd.upf
Au 196.97 Au.upf
Cd 112.41 Cd.upf
ATOMIC_POSITIONS crystal
Gd 0.0000 0.2989 0.8140
Au 0.5000 0.7575 0.1276
Gd 0.5000 0.2402 0.2402
Au 0.0000 0.7954 0.7954
Au 0.5000 0.1276 0.7575
Cd 0.5000 0.6484 0.6484
Cd 0.0000 0.3179 0.3179
Gd 0.0000 0.8140 0.2989
CELL_PARAMETERS angstrom
5.5939 0.0000 0.0000
0.0000 3.8819 4.6002
0.0000 -3.8819 4.6002
! Calculated volume in Å³/atom: 24.97
! DFT formation energy in eV/atom: -0.385
! E above lowest polymorph in eV/atom: 0.226

***

Entry 16:
! Gd2CdAu, optimized geometry, DFT PBE; values from VASP
&SYSTEM
  ibrav = 0, nat = 8, ntyp = 3
/
ATOMIC_SPECIES
Gd 157.25 Gd.upf
Cd 112.41 Cd.upf
Au 196.97 Au.upf
ATOMIC_POSITIONS crystal
Gd 0.7500 0.8449 0.0652
Gd 0.7500 0.4020 0.1953
Gd 0.2500 0.0652 0.8449
Cd 0.2500 0.6586 0.3363
Gd 0.2500 0.1953 0.4020
Cd 0.7500 0.3363 0.6586
Au 0.7500 0.8866 0.6111
Au 0.2500 0.6111 0.8866
CELL_PARAMETERS angstrom
5.4088 0.0000 0.0000
0.0000 5.7734 3.3114
0.0000 -5.7734 3.3114
! Calculated volume in Å³/atom: 25.85
! DFT formation energy in eV/atom: -0.389
! E above lowest polymorph in eV/atom: 0.196

***

Entry 17:
! Gd2CdAu, optimized geometry, DFT PBE; values from VASP
&SYSTEM
  ibrav = 0, nat = 8, ntyp = 3
/
ATOMIC_SPECIES
Gd 157.25 Gd.upf
Cd 112.41 Cd.upf
Au 196.97 Au.upf
ATOMIC_POSITIONS crystal
Gd 0.8855 0.6457 0.2500
Cd 0.6248 0.3752 0.7500
Cd 0.3752 0.6248 0.2500
Au 0.8353 0.1647 0.2500
Au 0.1647 0.8353 0.7500
Gd 0.1145 0.3543 0.7500
Gd 0.3543 0.1145 0.2500
Gd 0.6457 0.8855 0.7500
CELL_PARAMETERS angstrom
3.6736 -5.3465 0.0000
3.6736 5.3465 0.0000
0.0000 0.0000 5.1007
! Calculated volume in Å³/atom: 25.05
! DFT formation energy in eV/atom: -0.586
! E above lowest polymorph in eV/atom: 0.000

***

Entry 18:
! Gd2HoCd3Au3, optimized geometry, DFT PBE; values from VASP
&SYSTEM
  ibrav = 0, nat = 9, ntyp = 4
/
ATOMIC_SPECIES
Cd 112.41 Cd.upf
Gd 157.25 Gd.upf
Au 196.97 Au.upf
Ho 164.93 Ho.upf
ATOMIC_POSITIONS crystal
Cd 0.5000 0.7384 0.9995
Gd 0.0000 0.0000 0.4037
Au 0.5000 0.3356 0.6661
Ho 0.0000 0.5963 0.5963
Au 0.0000 0.9989 0.9989
Gd 0.0000 0.4037 0.0000
Au 0.5000 0.6661 0.3356
Cd 0.5000 0.9995 0.7384
Cd 0.5000 0.2616 0.2616
CELL_PARAMETERS angstrom
3.9302 0.0000 0.0000
0.0000 6.7496 3.9091
0.0000 -6.7496 3.9091
! Calculated volume in Å³/atom: 23.04
! DFT formation energy in eV/atom: -0.667

***

Entry 19:
! Gd3Cd2InIr2Au, optimized geometry, DFT PBE; values from VASP
&SYSTEM
  ibrav = 0, nat = 9, ntyp = 5
/
ATOMIC_SPECIES
Gd 157.25 Gd.upf
In 114.82 In.upf
Cd 112.41 Cd.upf
Ir 192.22 Ir.upf
Au 196.97 Au.upf
ATOMIC_POSITIONS crystal
Gd 0.0000 0.4117 0.9993
In 0.5000 0.2655 0.2655
Cd 0.5000 0.7349 0.0016
Ir 0.5000 0.6609 0.3324
Cd 0.5000 0.0016 0.7349
Ir 0.5000 0.3324 0.6609
Gd 0.0000 0.5922 0.5922
Au 0.0000 0.0015 0.0015
Gd 0.0000 0.9993 0.4117
CELL_PARAMETERS angstrom
-1.9087 3.4013 -0.3288
-4.0606 -1.6691 6.3069
6.6579 3.7926 0.5826
! Calculated volume in Å³/atom: 22.20
! Final energy in eV per atom: -5.019

***

Entry 20:
! Gd3Cd2InPt2Au, optimized geometry, DFT PBE; values from VASP
&SYSTEM
  ibrav = 0, nat = 9, ntyp = 5
/
ATOMIC_SPECIES
Au 196.97 Au.upf
Cd 112.41 Cd.upf
Pt 195.08 Pt.upf
Gd 157.25 Gd.upf
In 114.82 In.upf
ATOMIC_POSITIONS crystal
Au 0.0000 0.0010 0.0010
Cd 0.5000 0.7362 0.0016
Pt 0.5000 0.6628 0.3329
Gd 0.0000 0.9990 0.4105
Pt 0.5000 0.3329 0.6628
Cd 0.5000 0.0016 0.7362
In 0.5000 0.2626 0.2626
Gd 0.0000 0.4105 0.9990
Gd 0.0000 0.5933 0.5933
CELL_PARAMETERS angstrom
-1.1206 -2.9008 2.3528
6.1518 -4.1843 -2.2289
0.5168 4.7603 6.1150
! Calculated volume in Å³/atom: 22.58
! Final energy in eV per atom: -4.612

***

Entry 21:
! GdY2Cd3In2Au, optimized geometry, DFT PBE; values from VASP
&SYSTEM
  ibrav = 0, nat = 9, ntyp = 5
/
ATOMIC_SPECIES
Y 88.91 Y.upf
Cd 112.41 Cd.upf
Au 196.97 Au.upf
Gd 157.25 Gd.upf
In 114.82 In.upf
ATOMIC_POSITIONS crystal
Y 0.0000 0.0003 0.5950
Cd 0.5000 0.9999 0.2441
Au 0.0000 0.9992 0.9992
Gd 0.0000 0.4055 0.4055
In 0.5000 0.6674 0.3331
Cd 0.5000 0.2441 0.9999
In 0.5000 0.3331 0.6674
Y 0.0000 0.5950 0.0003
Cd 0.5000 0.7555 0.7555
CELL_PARAMETERS angstrom
-1.8870 -3.5436 2.0108
5.5940 -4.3971 -2.4991
0.6003 3.4657 6.6709
! Calculated volume in Å³/atom: 24.54
! Final energy in eV per atom: -3.733

***

Entry 22:
! NdGd2Cd3Ir2Au, optimized geometry, DFT PBE; values from VASP
&SYSTEM
  ibrav = 0, nat = 9, ntyp = 5
/
ATOMIC_SPECIES
Gd 157.25 Gd.upf
Cd 112.41 Cd.upf
Ir 192.22 Ir.upf
Au 196.97 Au.upf
Nd 144.24 Nd.upf
ATOMIC_POSITIONS crystal
Gd 0.5000 0.4121 0.0004
Cd 0.0000 0.7373 0.0013
Ir 0.0000 0.3291 0.6671
Cd 0.0000 0.0013 0.7373
Au 0.5000 0.0023 0.0023
Cd 0.0000 0.2626 0.2626
Nd 0.5000 0.5878 0.5878
Gd 0.5000 0.0004 0.4121
Ir 0.0000 0.6671 0.3291
CELL_PARAMETERS angstrom
-0.1422 -3.3671 2.0591
6.5340 1.9182 3.5880
-6.7989 2.0873 2.9436
! Calculated volume in Å³/atom: 22.46
! DFT formation energy in eV/atom: -0.591

***

Entry 23:
! PrGd2Cd3Ir2Au, optimized geometry, DFT PBE; values from VASP
&SYSTEM
  ibrav = 0, nat = 9, ntyp = 5
/
ATOMIC_SPECIES
Gd 157.25 Gd.upf
Cd 112.41 Cd.upf
Au 196.97 Au.upf
Ir 192.22 Ir.upf
Pr 140.91 Pr.upf
ATOMIC_POSITIONS crystal
Gd 0.0000 0.9995 0.5877
Cd 0.5000 0.9982 0.2621
Au 0.0000 0.9971 0.9971
Cd 0.5000 0.7382 0.7382
Ir 0.5000 0.3327 0.6721
Ir 0.5000 0.6721 0.3327
Gd 0.0000 0.5877 0.9995
Pr 0.0000 0.4124 0.4124
Cd 0.5000 0.2621 0.9982
CELL_PARAMETERS angstrom
3.9603 0.0000 0.0000
0.0000 6.6862 3.8345
0.0000 -6.6862 3.8345
! Calculated volume in Å³/atom: 22.56
! DFT formation energy in eV/atom: -0.586

***

Entry 24:
! Pr2GdCd3Ir2Au, optimized geometry, DFT PBE; values from VASP
&SYSTEM
  ibrav = 0, nat = 9, ntyp = 5
/
ATOMIC_SPECIES
Cd 112.41 Cd.upf
Pr 140.91 Pr.upf
Gd 157.25 Gd.upf
Ir 192.22 Ir.upf
Au 196.97 Au.upf
ATOMIC_POSITIONS crystal
Cd 0.5000 0.0023 0.2615
Pr 0.0000 0.0004 0.5870
Cd 0.5000 0.2615 0.0023
Cd 0.5000 0.7382 0.7382
Gd 0.0000 0.4128 0.4128
Ir 0.5000 0.3343 0.6605
Au 0.0000 0.0029 0.0029
Pr 0.0000 0.5870 0.0004
Ir 0.5000 0.6605 0.3343
CELL_PARAMETERS angstrom
4.0062 0.0000 0.0000
0.0000 6.6702 3.8767
0.0000 -6.6702 3.8767
! Calculated volume in Å³/atom: 23.02
! DFT formation energy in eV/atom: -0.571